Entry 1:
A plane-wave DFT calculation with GGA-PBE was carried out for a relaxed CsNaCd4 crystal.

symmetry	F-43m (216)

Cell: 6.4215 6.4215 6.4215 Å, 60.00 60.00 60.00°
Last column: nearest neighbours and their distance in Å.
Atoms (fractional coordinates):
Cs1 0.2500 0.2500 0.2500  12 Cd 3.77, 4 Na 3.93
Cd1 0.6274 0.1179 0.6274  6 Cd 3.15-3.27
Cd2 0.6274 0.6274 0.6274  6 Cd 3.15-3.27
Cd3 0.1179 0.6274 0.6274  6 Cd 3.15-3.27
Cd4 0.6274 0.6274 0.1179  6 Cd 3.15-3.27
Na1 0.0000 0.0000 0.0000  12 Cd 3.76, 4 Cs 3.93



Entry 2:
A plane-wave DFT calculation with GGA-PBE was carried out for a relaxed CsNaCd crystal.

symmetry	C2/m (12)

Cell: 5.5679 5.5918 12.2461 Å, 76.66 76.86 60.14°
Last column: nearest neighbours and their distance in Å.
Atoms (fractional coordinates):
Na1 0.6506 0.1524 0.5464  3 Cd 3.34-3.35, 3 Na 3.40-3.41
Na2 0.3494 0.8476 0.4536  3 Cd 3.34-3.35, 3 Na 3.40-3.41
Cd1 0.9577 0.4635 0.6212  1 Cd 2.86
Cd2 0.0423 0.5365 0.3788  1 Cd 2.86
Cs1 0.7743 0.2714 0.1799  3 Cd 3.98-4.00, 1 Na 4.33
Cs2 0.2257 0.7286 0.8201  3 Cd 3.98-4.00, 1 Na 4.33



Entry 3:
A plane-wave DFT calculation with GGA-PBE was carried out for a relaxed Cs4NaCd5 crystal.

symmetry	I4mm (107)

Cell: 6.4154 9.1843 9.1843 Å, 82.99 69.56 69.56°
Last column: nearest neighbours and their distance in Å.
Atoms (fractional coordinates):
Cd1 0.1019 0.0000 0.6719  1 Cd 3.13, 1 Na 3.34
Cd2 0.7261 0.0000 0.0000  4 Cd 3.13, 2 Na 3.14-3.28
Cd3 0.7738 0.0000 0.3281  1 Cd 3.13, 1 Na 3.34
Cd4 0.1019 0.6719 0.0000  1 Cd 3.13, 1 Na 3.34
Cd5 0.7738 0.3281 0.0000  1 Cd 3.13, 1 Na 3.34
Cs1 0.7413 0.7079 0.7079  1 Na 3.86, 7 Cd 3.97-4.14
Cs2 0.4492 0.2921 0.7079  1 Na 3.86, 7 Cd 3.97-4.14
Cs3 0.4492 0.7079 0.2921  1 Na 3.86, 7 Cd 3.97-4.14
Cs4 0.1570 0.2921 0.2921  1 Na 3.86, 7 Cd 3.97-4.14
Na1 0.2155 0.0000 0.0000  6 Cd 3.14-3.34



Number 1: V 31.2 Å³/atom, magnetic moment 0.00 μB/cell, ΔE_f -0.041 eV/atom. Number 2: V 53.1 Å³/atom, magnetic moment 0.00 μB/cell, ΔE_f -0.031 eV/atom. Number 3: V 47.5 Å³/atom, magnetic moment 0.00 μB/cell, ΔE_f 0.002 eV/atom.